(1)
A plane-wave DFT calculation with PBE was carried out for an optimized crystal structure of NaBSCl2.

POSCAR file:
```
NaBSCl2
1.0
-3.8340 -0.7128 -3.4343
1.2458 -5.0329 -0.3462
-2.2714 -0.7474 2.6909
Na S Cl B
1 1 2 1
Cartesian
-2.4298 -3.2465 -0.5448
-1.1357 -0.3737 1.3455
-1.9170 -0.3564 -1.7171
0.6229 -2.5164 -0.1731
0.0000 0.0000 0.0000
```

Excess energy over the best structure of this formula in the dataset (eV per atom): 0.000
M_tot (μB per formula unit): 0.000
Energy relative to the elements, uncorrected (meV/atom): -239



(2)
A plane-wave DFT calculation with PBE was carried out for an optimized crystal structure of NaBSCl2.

POSCAR file:
```
NaBSCl2
1.0
5.2032 0.0000 0.0000
0.0000 5.2032 0.0000
0.0000 0.0000 5.1508
S Na Cl B
1 1 2 1
Cartesian
0.0000 0.0000 2.5754
0.0000 0.0000 0.0000
0.0000 2.6016 0.0000
2.6016 0.0000 0.0000
2.6016 2.6016 2.5754
```

Excess energy over the best structure of this formula in the dataset (eV per atom): 1.156
M_tot (μB per formula unit): 2.008
Energy relative to the elements, uncorrected (meV/atom): 918



(3)
A plane-wave DFT calculation with PBE was carried out for an optimized crystal structure of Na2TlBCl.

POSCAR file:
```
Na2TlBCl
1.0
-1.9448 -4.8417 1.7122
3.8918 -1.3623 0.5681
-0.1004 1.8663 5.1635
Na Cl Tl B
2 1 1 1
Cartesian
-0.9724 -2.4208 0.8561
-0.0502 0.9332 2.5818
0.9233 -2.1688 3.7219
1.9459 -0.6812 0.2840
0.0000 0.0000 0.0000
```

M_tot (μB per formula unit): 0.000
Energy relative to the elements, uncorrected (meV/atom): -66



(4)
A plane-wave DFT calculation with PBE was carried out for an optimized crystal structure of NbB3Cl.

POSCAR file:
```
NbB3Cl
1.0
-0.6499 -0.3184 3.7974
1.4130 -3.5978 -0.0599
3.5391 1.3780 0.7212
Nb B Cl
1 3 1
Cartesian
2.1511 -1.2691 2.2294
-0.3249 -0.1592 1.8987
0.7065 -1.7989 -0.0299
1.7696 0.6890 0.3606
0.0000 0.0000 0.0000
```

Excess energy over the best structure of this formula in the dataset (eV per atom): 0.073
M_tot (μB per formula unit): 0.000
Energy relative to the elements, uncorrected (meV/atom): 1958



(5)
A plane-wave DFT calculation with PBE was carried out for an optimized crystal structure of NbB3Cl.

POSCAR file:
```
NbB3Cl
1.0
4.4833 0.0000 0.0000
0.0000 4.4833 0.0000
0.0000 0.0000 4.4833
Cl B Nb
1 3 1
Cartesian
2.2417 2.2417 2.2417
0.0000 2.2417 0.0000
0.0000 0.0000 2.2417
2.2417 0.0000 0.0000
0.0000 0.0000 0.0000
```

Excess energy over the best structure of this formula in the dataset (eV per atom): 0.000
M_tot (μB per formula unit): 1.884
Energy relative to the elements, uncorrected (meV/atom): 1885



(6)
A plane-wave DFT calculation with PBE was carried out for an optimized crystal structure of Nb3BCl.

POSCAR file:
```
Nb3BCl
1.0
-3.7002 0.4470 -2.4064
1.5419 -2.9618 -2.9210
-1.9008 -3.2726 2.3150
Nb B Cl
3 1 1
Cartesian
-0.9504 -1.6363 1.1575
0.7709 -1.4809 -1.4605
-1.8501 0.2235 -1.2032
0.0000 0.0000 0.0000
-2.0296 -2.8937 -1.5062
```

Excess energy over the best structure of this formula in the dataset (eV per atom): 0.000
M_tot (μB per formula unit): 0.000
Energy relative to the elements, uncorrected (meV/atom): 571



(7)
A plane-wave DFT calculation with PBE was carried out for an optimized crystal structure of NbBP2Cl.

POSCAR file:
```
NbBP2Cl
1.0
4.8363 0.0000 0.0000
0.0000 4.8363 0.0000
0.0000 0.0000 4.9195
P Nb B Cl
2 1 1 1
Cartesian
0.0000 2.4182 0.0000
2.4182 0.0000 0.0000
0.0000 0.0000 0.0000
2.4182 2.4182 2.4598
0.0000 0.0000 2.4598
```

Excess energy over the best structure of this formula in the dataset (eV per atom): 0.257
M_tot (μB per formula unit): 0.000
Energy relative to the elements, uncorrected (meV/atom): 979



(8)
A plane-wave DFT calculation with PBE was carried out for an optimized crystal structure of NbBP2Cl.

POSCAR file:
```
NbBP2Cl
1.0
-1.6472 -2.2781 2.9902
3.2668 0.7476 2.3692
-1.9706 3.5296 1.6034
Nb P Cl B
1 2 1 1
Cartesian
-0.1755 0.9996 3.4814
-0.8236 -1.1390 1.4951
1.6334 0.3738 1.1846
-0.9853 1.7648 0.8017
0.0000 0.0000 0.0000
```

Excess energy over the best structure of this formula in the dataset (eV per atom): 0.000
M_tot (μB per formula unit): 0.000
Energy relative to the elements, uncorrected (meV/atom): 721



(9)
A plane-wave DFT calculation with PBE was carried out for an optimized crystal structure of NbBPtCl2.

POSCAR file:
```
NbBPtCl2
1.0
-4.5948 -0.0266 1.1976
-0.3104 -4.5586 -1.2923
1.2495 -1.4351 4.7620
Nb Cl B Pt
1 2 1 1
Cartesian
0.0000 0.0000 0.0000
-2.2974 -0.0133 0.5988
-0.1552 -2.2793 -0.6462
-1.8278 -3.0102 2.3336
0.6248 -0.7176 2.3810
```

M_tot (μB per formula unit): 0.000
Energy relative to the elements, uncorrected (meV/atom): 813



(10)
A plane-wave DFT calculation with PBE was carried out for an optimized crystal structure of Rb2NbBCl6.

POSCAR file:
```
Rb2NbBCl6
1.0
-1.3895 1.7706 6.8999
5.0839 -4.6778 2.2242
5.3822 2.2722 4.3178
Nb Cl Rb B
1 6 2 1
Cartesian
0.0000 0.0000 0.0000
3.6578 0.4547 4.4370
3.5020 -3.1020 3.3668
0.1924 0.1948 5.7573
5.4188 -1.0898 9.0050
0.9028 -0.7104 2.2297
2.7916 -2.1967 6.8945
2.9199 1.2946 7.8899
6.1566 -1.9296 5.5521
1.8472 -1.4536 4.5621
```

M_tot (μB per formula unit): 2.000
Energy relative to the elements, uncorrected (meV/atom): -939



(11)
A plane-wave DFT calculation with PBE was carried out for an optimized crystal structure of NdBCl.

POSCAR file:
```
NdBCl
1.0
3.2708 0.0000 0.0000
0.0000 4.6336 0.0000
-1.6354 -2.3168 9.1636
B Cl Nd
2 2 2
Cartesian
0.8006 2.3168 0.0000
2.4702 2.3168 0.0000
1.6354 0.0000 3.3062
0.0000 2.3168 5.8574
1.6354 0.0000 6.6847
0.0000 2.3168 2.4790
```

Excess energy over the best structure of this formula in the dataset (eV per atom): 0.316
M_tot (μB per formula unit): 0.000
Energy relative to the elements, uncorrected (meV/atom): -811



(12)
A plane-wave DFT calculation with PBE was carried out for an optimized crystal structure of Nd4BCl4.

POSCAR file:
```
Nd4BCl4
1.0
-2.1583 -1.1674 -3.1572
3.0918 -5.6850 -2.5436
-5.3717 -6.5462 3.5607
Nd Cl B
4 4 1
Cartesian
-6.1103 -8.5865 -0.2443
-1.7989 -2.7079 -0.3011
1.6721 -4.8122 -1.8958
-2.6393 -10.6908 -1.8390
-1.3805 -4.6247 -2.4105
-1.5104 -8.2629 -3.5085
-3.0577 -8.7740 0.2704
-2.9277 -5.1358 1.3684
-1.0792 -0.5837 -1.5786
```

M_tot (μB per formula unit): 0.000
Energy relative to the elements, uncorrected (meV/atom): -1479



(13)
A plane-wave DFT calculation with PBE was carried out for an optimized crystal structure of Nd5BCl5.

POSCAR file:
```
Nd5BCl5
1.0
5.6597 0.0000 0.0000
-2.8299 5.8845 -2.1048
0.0000 0.1277 8.3314
Nd Cl B
5 5 1
Cartesian
2.8299 0.0000 0.0000
0.0000 1.7920 1.8237
2.8299 3.9809 -0.2789
0.0000 2.0312 6.5055
2.8299 4.2201 4.4029
2.8299 1.9071 6.0302
0.0000 4.1050 0.1965
2.8299 1.9756 2.2137
0.0000 4.0365 4.0130
0.0000 0.0638 4.1657
0.0000 0.0000 0.0000
```

M_tot (μB per formula unit): 0.000
Energy relative to the elements, uncorrected (meV/atom): -1428



(14)
A plane-wave DFT calculation with PBE was carried out for an optimized crystal structure of NdB2Cl8.

POSCAR file:
```
NdB2Cl8
1.0
-2.2098 2.7994 -4.8534
-6.9601 -3.7116 -0.4319
-5.0880 4.8244 3.6392
Cl B Nd
8 2 1
Cartesian
-5.4992 5.4215 -0.9962
-9.6771 2.9576 -1.7512
-3.7943 2.0663 -2.5877
-6.7854 -0.4431 -3.7931
-7.4725 4.3552 2.1470
-8.7587 -1.5094 -0.6500
-4.5808 0.9546 0.1051
-10.4635 1.8458 0.9416
-11.0736 2.7372 -0.6468
-3.1843 1.1750 -0.9993
0.0000 0.0000 0.0000
```

M_tot (μB per formula unit): 1.039
Energy relative to the elements, uncorrected (meV/atom): -1143



(15)
A plane-wave DFT calculation with PBE was carried out for an optimized crystal structure of Nd2BCl.

POSCAR file:
```
Nd2BCl
1.0
-0.1758 -2.7504 2.8803
2.9528 -0.2896 2.6624
-2.3693 3.5433 5.9976
Nd B Cl
2 1 1
Cartesian
0.1582 0.5817 8.8412
0.2496 -0.0783 2.6991
0.0000 0.0000 0.0000
0.2039 0.2517 5.7701
```

M_tot (μB per formula unit): 0.000
Energy relative to the elements, uncorrected (meV/atom): -839



(16)
A plane-wave DFT calculation with PBE was carried out for an optimized crystal structure of NdBCl.

POSCAR file:
```
NdBCl
1.0
-0.1987 -3.5738 -0.2541
0.8970 -1.6333 -3.0666
11.0673 -1.0873 3.5616
B Nd Cl
2 2 2
Cartesian
5.7474 -2.2778 0.6675
6.0181 -4.0165 -0.4267
8.0557 -5.8955 -0.9293
3.7099 -0.3988 1.1702
2.3590 -3.7259 -1.6518
9.4065 -2.5684 1.8926
```

Excess energy over the best structure of this formula in the dataset (eV per atom): 0.000
M_tot (μB per formula unit): 0.000
Energy relative to the elements, uncorrected (meV/atom): -1127



(17)
A plane-wave DFT calculation with PBE was carried out for an optimized crystal structure of Nd4BCl2O.

POSCAR file:
```
Nd4BCl2O
1.0
3.8345 0.0000 0.0000
0.0000 6.4703 0.0577
0.0000 -2.3472 7.1115
Nd Cl O B
4 2 1 1
Cartesian
1.9173 3.0977 5.7927
1.9173 1.0254 1.3765
0.0000 -0.2238 5.7354
0.0000 4.3469 1.4338
0.0000 2.0616 3.5846
1.9173 -1.1736 3.5558
0.0000 0.0000 0.0000
1.9173 3.2352 0.0289
```

M_tot (μB per formula unit): 0.000
Energy relative to the elements, uncorrected (meV/atom): -1518



(18)
A plane-wave DFT calculation with PBE was carried out for an optimized crystal structure of Nd4BPCl2.

POSCAR file:
```
Nd4BPCl2
1.0
4.0519 0.0000 0.0000
0.0000 7.0477 0.1298
0.0000 -2.4585 6.9970
Nd Cl B P
4 2 1 1
Cartesian
2.0259 1.0360 1.4621
0.0000 4.7872 1.5669
0.0000 -0.1981 5.5599
2.0259 3.5532 5.6647
2.0259 -1.2293 3.4985
0.0000 2.2946 3.5634
0.0000 0.0000 0.0000
2.0259 3.5238 0.0649
```

M_tot (μB per formula unit): 0.000
Energy relative to the elements, uncorrected (meV/atom): -1262



(19)
A plane-wave DFT calculation with PBE was carried out for an optimized crystal structure of Nd8BS3Cl4.

POSCAR file:
```
Nd8BS3Cl4
1.0
8.1328 0.0000 0.0000
0.0000 8.3221 0.1292
-4.0664 -4.0632 5.7529
Nd Cl S B
8 4 3 1
Cartesian
4.0664 4.0036 2.8276
0.0000 4.0612 2.7043
4.0664 0.1976 3.1778
0.0000 0.2553 3.0545
-2.1492 1.9137 5.7449
6.2156 2.3451 0.1372
2.1492 1.9137 5.7449
1.9172 2.3451 0.1372
2.0332 -2.0316 2.8764
4.0664 0.0000 0.0000
-2.0332 -2.0316 2.8764
0.0000 0.0000 0.0000
-2.0332 2.1294 2.9411
2.0332 2.1294 2.9411
4.0664 4.1610 0.0646
0.0000 4.1610 0.0646
```

M_tot (μB per formula unit): 0.000
Energy relative to the elements, uncorrected (meV/atom): -1550



(20)
A plane-wave DFT calculation with PBE was carried out for an optimized crystal structure of NiBCl3.

POSCAR file:
```
NiBCl3
1.0
4.6173 0.0000 0.0000
0.0000 4.6173 0.0000
0.0000 0.0000 4.6173
Cl B Ni
3 1 1
Cartesian
0.0000 2.3087 0.0000
2.3087 0.0000 0.0000
0.0000 0.0000 2.3087
2.3087 2.3087 2.3087
0.0000 0.0000 0.0000
```

Excess energy over the best structure of this formula in the dataset (eV per atom): 0.000
M_tot (μB per formula unit): 0.000
Energy relative to the elements, uncorrected (meV/atom): 546